Here is crystalline TcBrCl2 at its relaxed geometry from Alexandria. Energies are from PBE.

Summary:
The total DFT energy (no corrections) is -3.608 eV/atom. Its formation energy from raw total energies is 0.3255 eV/atom. Its offset from the most stable computed form is 3.02 eV/f.u. The density of states at the Fermi level comes out at 1.209 states/eV per atom. The value obtained for the magnetization is 0.104 μB per atom.

Geometry as POSCAR:
```
TcBrCl2
1.0
-1.274 2.659 0.963
-2.817 -1.099 -0.693
-0.716 -3.278 8.108
Br Cl Tc
1 2 1
Direct
0.500 0.500 0.678
0.500 0.500 0.333
0.000 0.000 0.980
0.000 0.000 0.510
```

=====

Here is crystalline Tc2BrCl at its relaxed geometry from Alexandria. Energies are from PBE.

Summary:
The total DFT energy (no corrections) is -5.503 eV/atom. Its formation energy from raw total energies is 0.5598 eV/atom. Its offset from the most stable computed form is 2.32 eV/f.u. The density of states at the Fermi level comes out at 0.877 states/eV per atom. The value obtained for the magnetization is 0.000 μB per atom.

Geometry as POSCAR:
```
Tc2BrCl
1.0
-0.480 2.649 3.189
2.279 -2.298 2.251
3.973 2.910 -1.819
Br Tc Cl
1 2 1
Direct
0.500 0.250 0.250
0.000 0.056 0.885
0.000 0.444 0.615
0.500 0.750 0.750
```

=====

Here is crystalline TcBrCl2 at its relaxed geometry from Alexandria. Energies are from PBE.

Summary:
The total DFT energy (no corrections) is -3.288 eV/atom. Its formation energy from raw total energies is 0.6455 eV/atom. Its offset from the most stable computed form is 4.30 eV/f.u. The density of states at the Fermi level comes out at 0.437 states/eV per atom. The value obtained for the magnetization is 1.127 μB per atom.

Geometry as POSCAR:
```
TcBrCl2
1.0
3.479 0.000 0.000
0.000 6.029 0.000
0.000 0.000 4.400
Cl Br Tc
2 1 1
Direct
0.000 0.000 0.000
0.500 0.500 0.000
0.000 0.500 0.500
0.500 0.000 0.500
```

=====

Here is crystalline Tc2BrCl at its relaxed geometry from Alexandria. Energies are from PBE.

Summary:
The total DFT energy (no corrections) is -5.004 eV/atom. Its formation energy from raw total energies is 1.0584 eV/atom. Its offset from the most stable computed form is 4.32 eV/f.u. The density of states at the Fermi level comes out at 0.850 states/eV per atom. The value obtained for the magnetization is 0.047 μB per atom.

Geometry as POSCAR:
```
Tc2BrCl
1.0
4.628 0.000 0.000
2.314 4.008 0.000
2.314 1.336 3.778
Cl Tc Br
1 2 1
Direct
0.250 0.250 0.250
0.000 0.000 0.000
0.750 0.750 0.750
0.500 0.500 0.500
```

=====

Here is crystalline Tc3BrCl at its relaxed geometry from Alexandria. Energies are from PBE.

Summary:
The total DFT energy (no corrections) is -5.358 eV/atom. Its formation energy from raw total energies is 1.5653 eV/atom. Its offset from the most stable computed form is 0.00 eV/f.u. The density of states at the Fermi level comes out at 1.268 states/eV per atom. The value obtained for the magnetization is 0.517 μB per atom.

Geometry as POSCAR:
```
Tc3BrCl
1.0
4.475 0.000 0.000
0.000 4.475 0.000
0.000 0.000 4.475
Tc Cl Br
3 1 1
Direct
0.000 0.500 0.000
0.000 0.000 0.500
0.500 0.000 0.000
0.000 0.000 0.000
0.500 0.500 0.500
```

=====

Here is crystalline Tc2BrCl2 at its relaxed geometry from Alexandria. Energies are from PBE.

Summary:
The total DFT energy (no corrections) is -4.470 eV/atom. Its formation energy from raw total energies is 0.7496 eV/atom. Its offset from the most stable computed form is 1.81 eV/f.u. The density of states at the Fermi level comes out at 0.537 states/eV per atom. The value obtained for the magnetization is 0.513 μB per atom.

Geometry as POSCAR:
```
Tc2BrCl2
1.0
-6.529 -4.052 -4.087
0.834 -6.782 5.391
-2.017 1.294 1.939
Tc Cl Br
4 4 2
Direct
0.085 0.585 0.500
0.915 0.415 0.500
0.585 0.915 0.500
0.415 0.085 0.500
0.163 0.337 0.000
0.337 0.837 0.000
0.663 0.163 0.000
0.837 0.663 0.000
0.000 0.000 0.000
0.500 0.500 0.000
```

=====

Here is crystalline TcBrCl2 at its relaxed geometry from Alexandria. Energies are from PBE.

Summary:
The total DFT energy (no corrections) is -3.307 eV/atom. Its formation energy from raw total energies is 0.6265 eV/atom. Its offset from the most stable computed form is 4.22 eV/f.u. The density of states at the Fermi level comes out at 0.621 states/eV per atom. The value obtained for the magnetization is 1.157 μB per atom.

Geometry as POSCAR:
```
TcBrCl2
1.0
4.810 -0.004 -0.007
-2.225 5.053 0.041
0.360 2.209 4.213
Cl Tc Br
2 1 1
Direct
0.500 0.000 0.500
0.000 0.000 0.000
0.000 0.500 0.500
0.500 0.500 0.000
```

=====

Here is crystalline Tc2BrCl at its relaxed geometry from Alexandria. Energies are from PBE.

Summary:
The total DFT energy (no corrections) is -5.270 eV/atom. Its formation energy from raw total energies is 0.7932 eV/atom. Its offset from the most stable computed form is 3.25 eV/f.u. The density of states at the Fermi level comes out at 1.148 states/eV per atom. The value obtained for the magnetization is 0.000 μB per atom.

Geometry as POSCAR:
```
Tc2BrCl
1.0
8.206 -0.007 -0.004
7.652 2.965 -0.004
7.652 1.427 2.599
Cl Tc Br
1 2 1
Direct
0.750 0.750 0.750
0.001 0.001 0.001
0.499 0.499 0.499
0.250 0.250 0.250
```